[1]
## Pm2Pr2Y (GGA-PBE)

Data for crystalline Pm2Pr2Y at its relaxed geometry.

- ΔE_f: 1.1 eV per formula unit
- Energy above the most stable polymorph in this dataset: 0.98 eV/f.u.
- SG: No. 15

POSCAR file:
```
Pm2Pr2Y
1.0
8.8435 1.1788 1.7008
-2.5529 6.1023 -0.0259
-2.5529 -2.1662 5.7049
Pr Y Pm
4 2 4
direct
0.1389 0.2432 0.0776
0.8611 0.7568 0.9224
0.6389 0.0776 0.2432
0.3611 0.9224 0.7568
0.7500 0.2028 0.7972
0.2500 0.7972 0.2028
0.0000 0.0000 0.5000
0.5000 0.5000 0.0000
0.0000 0.5000 0.5000
0.5000 0.5000 0.5000
```

---

[2]
## CaZrSc2 (GGA-PBE)

Data for crystalline CaZrSc2 at its relaxed geometry.

- ΔE_f: 0.6 eV per formula unit
- Energy above the most stable polymorph in this dataset: 0.15 eV/f.u.
- SG: No. 10

POSCAR file:
```
CaZrSc2
1.0
-2.6815 -0.7713 -3.3576
1.8823 -2.6489 -0.8947
-2.2562 -7.0351 3.4180
Ca Sc Zr
1 2 1
direct
0.5000 0.7500 0.7500
0.0000 0.5443 0.4567
0.0000 0.9557 0.0433
0.5000 0.2500 0.2500
```

---

[3]
## Ce2PmNdAs4 (GGA-PBE)

Data for crystalline Ce2PmNdAs4 at its relaxed geometry.

- ΔE_f: -11.8 eV per formula unit
- SG: No. 10

POSCAR file:
```
Ce2PmNdAs4
1.0
-0.2191 -0.6444 -4.1791
-6.5439 -3.2031 0.8369
-5.2829 5.0642 -0.5039
Ce Pm As Nd
2 1 4 1
direct
0.5000 0.0000 0.5000
0.0000 0.0000 0.0000
0.0000 0.5000 0.5000
0.0000 0.2446 0.2528
0.5000 0.2454 0.7505
0.5000 0.7546 0.2495
0.0000 0.7554 0.7472
0.5000 0.5000 0.0000
```

---

[4]
## CsK2LiGe (GGA-PBE)

Data for crystalline CsK2LiGe at its relaxed geometry.

- ΔE_f: 0.2 eV per formula unit
- SG: No. 123

POSCAR file:
```
CsK2LiGe
1.0
-3.9880 5.3446 -0.4811
-4.6170 -3.7228 -3.0861
-2.1919 -1.2091 4.7376
K Cs Ge Li
2 1 1 1
direct
0.5000 0.0000 0.0000
0.0000 0.5000 0.0000
0.5000 0.5000 0.5000
0.0000 0.0000 0.0000
0.0000 0.0000 0.5000
```

---

[5]
## NdAlCdPd (GGA-PBE)

Data for crystalline NdAlCdPd at its relaxed geometry.

- ΔE_f: -1.9 eV per formula unit
- SG: No. 216

POSCAR file:
```
NdAlCdPd
1.0
-2.2488 -1.1173 -4.2392
2.6707 -0.9389 -4.0326
0.2411 -4.5871 -1.7822
Al Pd Cd Nd
1 1 1 1
direct
0.0000 0.0000 0.0000
0.2500 0.2500 0.2500
0.7500 0.7500 0.7500
0.5000 0.5000 0.5000
```

---

[6]
## Pm2MgAl4Cu3 (GGA-PBE)

Data for crystalline Pm2MgAl4Cu3 at its relaxed geometry.

- ΔE_f: -3.5 eV per formula unit
- SG: No. 115

POSCAR file:
```
Pm2MgAl4Cu3
1.0
-2.3734 2.4425 -2.4136
-2.9427 -2.9589 -0.1006
-4.6677 4.3369 8.9789
Al Cu Mg Pm
4 3 1 2
direct
0.0000 0.0000 0.0000
0.5000 0.0000 0.6554
0.0000 0.5000 0.3446
0.5000 0.5000 0.0000
0.0000 0.0000 0.5000
0.5000 0.0000 0.8752
0.0000 0.5000 0.1248
0.5000 0.5000 0.5000
0.0000 0.5000 0.7658
0.5000 0.0000 0.2342
```

---

[7]
## TbY2O (GGA-PBE)

Data for crystalline TbY2O at its relaxed geometry.

- Energy relative to the elements, uncorrected: -0.82 eV per atom
- Energy above the most stable polymorph in this dataset: 2.12 eV/f.u.
- SG: No. 123

POSCAR file:
```
TbY2O
1.0
-1.8074 0.6915 -2.5432
-2.5470 0.3343 1.9010
1.8570 8.5034 0.9925
Tb O Y
1 1 2
direct
0.5000 0.5000 0.5000
0.5000 0.5000 0.0000
0.0000 0.0000 0.1756
0.0000 0.0000 0.8244
```

---

[8]
## TbPm5DyEr2 (GGA-PBE)

Data for crystalline TbPm5DyEr2 at its relaxed geometry.

- ΔE_f: 1.3 eV per formula unit
- SG: No. 36

POSCAR file:
```
TbPm5DyEr2
1.0
5.6354 0.0000 0.0000
-2.8177 10.1243 0.0000
0.0000 0.0000 10.6608
Pm Er Tb Dy
10 4 2 2
direct
0.7020 0.4041 0.2064
0.9833 0.9665 0.5199
0.7194 0.4389 0.8113
0.2980 0.5959 0.7064
0.0167 0.0335 0.0199
0.2806 0.5611 0.3113
0.4810 0.9620 0.7419
0.5190 0.0380 0.2419
0.6122 0.2245 0.5229
0.3878 0.7755 0.0229
0.1149 0.2299 0.3140
0.8851 0.7701 0.8140
0.8884 0.7769 0.2381
0.1116 0.2231 0.7381
0.8007 0.6014 0.5108
0.1993 0.3986 0.0108
0.4103 0.8206 0.4585
0.5897 0.1794 0.9585
```

---

[9]
## MnIn2Ag (GGA-PBE)

Data for crystalline MnIn2Ag at its relaxed geometry.

- ΔE_f: 0.6 eV per formula unit
- Energy above the most stable polymorph in this dataset: 0.05 eV/f.u.
- SG: No. 25

POSCAR file:
```
MnIn2Ag
1.0
-2.4222 3.9956 -1.3898
-0.7445 -1.4007 -2.7293
-4.2598 -1.8479 2.1118
In Mn Ag
2 1 1
direct
0.5000 0.1247 0.3345
0.0000 0.1253 0.9223
0.0000 0.6248 0.4301
0.5000 0.6252 0.8131
```

---

[10]
## Pm2Dy2In3 (GGA-PBE)

Data for crystalline Pm2Dy2In3 at its relaxed geometry.

- ΔE_f: -2.0 eV per formula unit
- Energy above the most stable polymorph in this dataset: 0.19 eV/f.u.
- SG: No. 2

POSCAR file:
```
Pm2Dy2In3
1.0
3.9440 -0.0076 0.0082
-1.9527 6.1192 -1.2728
-0.0139 -1.7384 8.9338
Dy Pm In
2 2 3
direct
0.3677 0.7354 0.1767
0.6323 0.2646 0.8233
0.8856 0.7694 0.5485
0.1144 0.2306 0.4515
0.0000 0.0000 0.0000
0.3281 0.6550 0.7939
0.6719 0.3450 0.2061
```

---

[11]
## Ce4Tl2Si (GGA-PBE)

Data for crystalline Ce4Tl2Si at its relaxed geometry.

- Energy relative to the elements, uncorrected: -0.18 eV per atom
- Energy above the most stable polymorph in this dataset: 0.00 eV/f.u.
- SG: No. 65

POSCAR file:
```
Ce4Tl2Si
1.0
-3.5064 -0.3443 1.2742
-0.0822 -4.2613 -1.3776
3.9962 -1.1756 10.6797
Si Ce Tl
1 4 2
direct
0.0000 0.5000 0.0000
0.5000 0.0596 0.1192
0.0000 0.6427 0.2854
0.5000 0.9404 0.8808
0.0000 0.3573 0.7146
0.5000 0.2073 0.4147
0.5000 0.7927 0.5853
```

---

[12]
## La3Tb6YTm2 (GGA-PBE)

Data for crystalline La3Tb6YTm2 at its relaxed geometry.

- ΔE_f: 0.3 eV per formula unit
- SG: No. 12

POSCAR file:
```
La3Tb6YTm2
1.0
-1.0922 -2.9853 5.3620
1.7458 -3.2037 -5.0542
11.0370 3.4073 2.9357
Tm Y Tb La
2 1 6 3
direct
0.6667 0.3333 0.0000
0.3333 0.6667 0.0000
0.0000 0.0000 0.0000
0.2535 0.2535 0.7566
0.4155 0.0810 0.2434
0.5845 0.9190 0.7566
0.7465 0.7465 0.2434
0.0810 0.4155 0.2434
0.9190 0.5845 0.7566
0.1669 0.8331 0.5000
0.8331 0.1669 0.5000
0.5000 0.5000 0.5000
```